# 1
# Ta2AuSe

A relaxed Ta2AuSe crystal (PBE, Alexandria via LeMat-Bulk).

* Fermi-level density of states: 2.7 states/eV/f.u.
* E_form (uncorrected): 0.03 eV/atom
* size of the total moment: 0.00 μB per formula unit

Unit cell a=6.7140 b=6.7381 c=3.0727 alpha=90.00 beta=90.00 gamma=90.00
Space group Cmmm (No. 65)
Unique sites:
1 Ta 0.2500 0.2500 0.0000 (multiplicity 4)
2 Au 0.0000 0.0000 0.5000 (multiplicity 2)
3 Se 0.0000 0.5000 0.5000 (multiplicity 2)

---

# 2
# ZrHg2Se

A relaxed ZrHg2Se crystal (PBE, Alexandria via LeMat-Bulk).

* Fermi-level density of states: 2.1 states/eV/f.u.
* E_form (uncorrected): -0.47 eV/atom
* size of the total moment: 0.00 μB per formula unit

Unit cell a=3.5073 b=3.5073 c=7.4973 alpha=90.00 beta=90.00 gamma=90.00
Space group P4mm (No. 99)
Unique sites:
1 Zr 0.0000 0.0000 0.0000 (multiplicity 1)
2 Hg 0.0000 0.0000 0.5474 (multiplicity 1)
3 Hg 0.5000 0.5000 0.2708 (multiplicity 1)
4 Se 0.5000 0.5000 0.8437 (multiplicity 1)

---

# 3
# AlTcPb2O6

A relaxed AlTcPb2O6 crystal (PBE, Alexandria via LeMat-Bulk).

* Fermi-level density of states: 2.8 states/eV/f.u.
* E_form (uncorrected): -1.58 eV/atom
* size of the total moment: 2.01 μB per formula unit

Unit cell a=5.6615 b=5.6615 c=27.8048 alpha=90.00 beta=90.00 gamma=120.00
Space group R-3m (No. 166, hexagonal axes)
Unique sites:
1 Al 0.0000 0.0000 0.0000 (multiplicity 3)
2 Al 0.0000 0.0000 0.5000 (multiplicity 3)
3 Tc 0.0000 0.0000 0.0952 (multiplicity 6)
4 Pb 0.0000 0.0000 0.2265 (multiplicity 6)
5 Pb 0.0000 0.0000 0.3676 (multiplicity 6)
6 O 0.0109 0.5055 0.2060 (multiplicity 18)
7 O 0.0268 0.5134 0.6235 (multiplicity 18)

---

# 4
# TaH2SO

A relaxed TaH2SO crystal (PBE, Alexandria via LeMat-Bulk).

* Fermi-level density of states: 3.1 states/eV/f.u.
* E_tot: -0.34510 Ry per atom
* size of the total moment: 0.49 μB per formula unit

Unit cell a=3.7297 b=3.7297 c=3.4593 alpha=90.00 beta=90.00 gamma=90.00
Space group P4/mmm (No. 123)
Unique sites:
1 Ta 0.0000 0.0000 0.0000 (multiplicity 1)
2 H 0.0000 0.5000 0.5000 (multiplicity 2)
3 S 0.5000 0.5000 0.0000 (multiplicity 1)
4 O 0.5000 0.5000 0.5000 (multiplicity 1)